Entry 1:
## AlFeTc2 (GGA-PBEsol)

Data for crystalline AlFeTc2 at its relaxed geometry.

Values from the calculation:
Density of states at the Fermi level = 3.11 states/eV per cell
Calculated formation energy = -0.163 eV/atom
Symmetry = Imm2
Size of the total moment = 1.8 μB/f.u.

Structure (POSCAR):
```
AlFeTc2
1.0
-1.524 -1.501 2.158
0.931 -3.592 -1.842
3.740 2.285 2.093
Tc Al Fe
2 1 1
direct
0.004 0.504 0.009 Tc
0.252 0.252 0.505 Tc
0.493 0.993 0.986 Al
0.750 0.750 0.501 Fe
```

=====

Entry 2:
## AlFe2Tc (GGA-PBEsol)

Data for crystalline AlFe2Tc at its relaxed geometry.

Values from the calculation:
Density of states at the Fermi level = 3.30 states/eV per cell
Calculated formation energy = -0.137 eV/atom
Symmetry = P4mm
Size of the total moment = 3.0 μB/f.u.

Structure (POSCAR):
```
AlFe2Tc
1.0
-0.203 -2.864 0.032
1.301 -0.063 2.559
-5.218 0.399 2.663
Tc Fe Al
1 2 1
direct
0.000 0.000 0.482 Tc
0.500 0.500 0.235 Fe
0.000 0.000 0.012 Fe
0.500 0.500 0.771 Al
```

=====

Entry 3:
## AlFe4Te (GGA-PBEsol)

Data for crystalline AlFe4Te at its relaxed geometry.

Values from the calculation:
Density of states at the Fermi level = 3.90 states/eV per cell
Formation energy from raw total energies = 0.175 eV/atom
Symmetry = F-43m
Size of the total moment = 6.9 μB/f.u.

Structure (POSCAR):
```
AlFe4Te
1.0
-4.481 0.359 1.666
-0.837 -0.302 4.711
-1.341 3.896 2.451
Fe Al Te
4 1 1
direct
0.123 0.626 0.626 Fe
0.626 0.626 0.626 Fe
0.626 0.123 0.626 Fe
0.626 0.626 0.123 Fe
0.000 0.000 0.000 Al
0.250 0.250 0.250 Te
```

=====

Entry 4:
## Al4FeTe (GGA-PBEsol)

Data for crystalline Al4FeTe at its relaxed geometry.

Values from the calculation:
Density of states at the Fermi level = 3.08 states/eV per cell
Formation energy from raw total energies = 0.371 eV/atom
Symmetry = F-43m
Size of the total moment = 2.7 μB/f.u.

Structure (POSCAR):
```
Al4FeTe
1.0
-1.264 -1.995 4.737
3.278 -3.392 2.403
2.679 1.510 4.308
Al Fe Te
4 1 1
direct
0.624 0.624 0.624 Al
0.129 0.624 0.624 Al
0.624 0.129 0.624 Al
0.624 0.624 0.129 Al
0.250 0.250 0.250 Fe
0.000 0.000 0.000 Te
```

=====

Entry 5:
## AlFeTe (GGA-PBEsol)

Data for crystalline AlFeTe at its relaxed geometry.

Values from the calculation:
Density of states at the Fermi level = 3.15 states/eV per cell
Formation energy from raw total energies = 0.620 eV/atom
Symmetry = F-43m
Size of the total moment = 2.1 μB/f.u.
ΔE to the lowest computed polymorph = 460 meV per atom

Structure (POSCAR):
```
AlFeTe
1.0
-3.276 2.562 1.336
-1.844 -0.668 3.903
0.644 2.860 3.238
Fe Te Al
1 1 1
direct
0.000 0.000 0.000 Fe
0.500 0.500 0.500 Te
0.250 0.250 0.250 Al
```

=====

Entry 6:
## AlFe3Te (GGA-PBEsol)

Data for crystalline AlFe3Te at its relaxed geometry.

Values from the calculation:
Density of states at the Fermi level = 3.08 states/eV per cell
Formation energy from raw total energies = 1.229 eV/atom
Symmetry = Pm-3m
Size of the total moment = 6.9 μB/f.u.

Structure (POSCAR):
```
AlFe3Te
1.0
-3.420 2.887 1.132
-3.090 -3.312 -0.888
0.257 -1.415 4.386
Te Fe Al
1 3 1
direct
0.000 0.000 0.000 Te
0.000 0.500 0.000 Fe
0.000 0.000 0.500 Fe
0.500 0.000 0.000 Fe
0.500 0.500 0.500 Al
```

=====

Entry 7:
## Al3FeTe (GGA-PBEsol)

Data for crystalline Al3FeTe at its relaxed geometry.

Values from the calculation:
Density of states at the Fermi level = 7.53 states/eV per cell
Formation energy from raw total energies = 1.536 eV/atom
Symmetry = Pm-3m
Size of the total moment = 3.0 μB/f.u.

Structure (POSCAR):
```
Al3FeTe
1.0
5.211 0.000 0.000
0.000 5.211 0.000
0.000 0.000 5.211
Al Te Fe
3 1 1
direct
0.000 0.000 0.500 Al
0.500 0.000 0.000 Al
0.000 0.500 0.000 Al
0.000 0.000 0.000 Te
0.500 0.500 0.500 Fe
```

=====

Entry 8:
## AlFeTe (GGA-PBEsol)

Data for crystalline AlFeTe at its relaxed geometry.

Values from the calculation:
Density of states at the Fermi level = 1.53 states/eV per cell
Formation energy from raw total energies = 0.159 eV/atom
Symmetry = I4mm
Size of the total moment = 1.1 μB/f.u.
ΔE to the lowest computed polymorph = 0 meV per atom

Structure (POSCAR):
```
AlFeTe
1.0
-2.499 0.626 -1.602
-0.069 -2.859 -1.009
-1.986 -0.395 5.816
Te Al Fe
1 1 1
direct
0.294 0.294 0.588 Te
0.043 0.043 0.085 Al
0.663 0.663 0.326 Fe
```